# Mn2OsPb | the Alexandria database | GGA-PBEsol | relaxed
# * calculated total energy: -8.240 eV/atom
data_Mn2OsPb
_chemical_formula_sum 'Mn6 Os3 Pb3'
_cell_length_a 2.9726
_cell_length_b 2.9726
_cell_length_c 25.9346
_cell_angle_alpha 90.00
_cell_angle_beta 90.00
_cell_angle_gamma 120.00
_symmetry_space_group_name_H-M 'R -3 m'
_symmetry_Int_Tables_number 166
_symmetry_space_group_name_Hall '-R 3 2"'
loop_
_atom_site_label
_atom_site_type_symbol
_atom_site_fract_x
_atom_site_fract_y
_atom_site_fract_z
Mn1 Mn 0.0000 0.0000 0.2406
Os1 Os 0.0000 0.0000 0.5000
Pb1 Pb 0.0000 0.0000 0.0000

---

# MnOs2Pt | the Alexandria database | GGA-PBEsol | relaxed
# * calculated total energy: -9.888 eV/atom
data_MnOs2Pt
_chemical_formula_sum 'Mn1 Os2 Pt1'
_cell_length_a 2.667
_cell_length_b 4.514
_cell_length_c 4.700
_cell_angle_alpha 90.00
_cell_angle_beta 93.75
_cell_angle_gamma 90.00
_symmetry_space_group_name_H-M 'P 1 2/m 1'
_symmetry_Int_Tables_number 10
_symmetry_space_group_name_Hall '-P 2y'
loop_
_atom_site_label
_atom_site_type_symbol
_atom_site_fract_x
_atom_site_fract_y
_atom_site_fract_z
Mn1 Mn 0.000 0.000 0.000
Os1 Os 0.220 0.500 0.763
Pt1 Pt 0.500 0.000 0.500

---

# MnOs2Pt | the Alexandria database | GGA-PBEsol | relaxed
# * calculated total energy: -10.173 eV/atom
data_MnOs2Pt
_chemical_formula_sum 'Mn3 Os6 Pt3'
_cell_length_a 2.6871
_cell_length_b 2.6871
_cell_length_c 26.1017
_cell_angle_alpha 90.00
_cell_angle_beta 90.00
_cell_angle_gamma 120.00
_symmetry_space_group_name_H-M 'R 3 m'
_symmetry_Int_Tables_number 160
_symmetry_space_group_name_Hall 'R 3 -2"'
loop_
_atom_site_label
_atom_site_type_symbol
_atom_site_fract_x
_atom_site_fract_y
_atom_site_fract_z
Mn1 Mn 0.0000 0.0000 0.0000
Os1 Os 0.0000 0.0000 0.2539
Os2 Os 0.0000 0.0000 0.5041
Pt1 Pt 0.0000 0.0000 0.7483

---

# Rb3MnOs | the Alexandria database | GGA-PBEsol | relaxed
# * calculated total energy: -2.806 eV/atom
data_Rb3MnOs
_chemical_formula_sum 'Rb3 Mn1 Os1'
_cell_length_a 6.316
_cell_length_b 6.316
_cell_length_c 6.316
_cell_angle_alpha 90.00
_cell_angle_beta 90.00
_cell_angle_gamma 90.00
_symmetry_space_group_name_H-M 'P m -3 m'
_symmetry_Int_Tables_number 221
_symmetry_space_group_name_Hall '-P 4 2 3'
loop_
_atom_site_label
_atom_site_type_symbol
_atom_site_fract_x
_atom_site_fract_y
_atom_site_fract_z
Rb1 Rb 0.000 0.000 0.500
Mn1 Mn 0.000 0.000 0.000
Os1 Os 0.500 0.500 0.500

---

# MnReOs2 | the Alexandria database | GGA-PBEsol | relaxed
# * energy relative to the lowest polymorph listed for this composition: 0.027 eV/atom
data_MnReOs2
_chemical_formula_sum 'Mn2 Re2 Os4'
_cell_length_a 5.350
_cell_length_b 7.515
_cell_length_c 2.693
_cell_angle_alpha 90.00
_cell_angle_beta 90.00
_cell_angle_gamma 90.00
_symmetry_space_group_name_H-M 'C m m m'
_symmetry_Int_Tables_number 65
_symmetry_space_group_name_Hall '-C 2 2'
loop_
_atom_site_label
_atom_site_type_symbol
_atom_site_fract_x
_atom_site_fract_y
_atom_site_fract_z
Mn1 Mn 0.000 0.000 0.000
Re1 Re 0.000 0.500 0.000
Os1 Os 0.250 0.250 0.500

---

# MnRe2Os | the Alexandria database | GGA-PBEsol | relaxed
# * energy relative to the lowest polymorph listed for this composition: 0.000 eV/atom
data_MnRe2Os
_chemical_formula_sum 'Mn2 Re4 Os2'
_cell_length_a 8.829
_cell_length_b 2.697
_cell_length_c 4.648
_cell_angle_alpha 90.00
_cell_angle_beta 100.18
_cell_angle_gamma 90.00
_symmetry_space_group_name_H-M 'C 1 m 1'
_symmetry_Int_Tables_number 8
_symmetry_space_group_name_Hall 'C -2y'
loop_
_atom_site_label
_atom_site_type_symbol
_atom_site_fract_x
_atom_site_fract_y
_atom_site_fract_z
Mn1 Mn 0.000 0.000 0.000
Re1 Re 0.002 0.500 0.506
Re2 Re 0.246 0.500 0.236
Os1 Os 0.253 0.000 0.753

---

# MnReOs2 | the Alexandria database | GGA-PBEsol | relaxed
# * energy relative to the lowest polymorph listed for this composition: 0.069 eV/atom
data_MnReOs2
_chemical_formula_sum 'Mn3 Re3 Os6'
_cell_length_a 2.6817
_cell_length_b 2.6817
_cell_length_c 25.9873
_cell_angle_alpha 90.00
_cell_angle_beta 90.00
_cell_angle_gamma 120.00
_symmetry_space_group_name_H-M 'R 3 m'
_symmetry_Int_Tables_number 160
_symmetry_space_group_name_Hall 'R 3 -2"'
loop_
_atom_site_label
_atom_site_type_symbol
_atom_site_fract_x
_atom_site_fract_y
_atom_site_fract_z
Mn1 Mn 0.0000 0.0000 0.0000
Re1 Re 0.0000 0.0000 0.2510
Os1 Os 0.0000 0.0000 0.4990
Os2 Os 0.0000 0.0000 0.7444

---

# MnRe2Os | the Alexandria database | GGA-PBEsol | relaxed
# * energy relative to the lowest polymorph listed for this composition: 0.267 eV/atom
data_MnRe2Os
_chemical_formula_sum 'Mn1 Re2 Os1'
_cell_length_a 4.460
_cell_length_b 4.460
_cell_length_c 2.817
_cell_angle_alpha 90.00
_cell_angle_beta 90.00
_cell_angle_gamma 90.00
_symmetry_space_group_name_H-M 'P 4/m m m'
_symmetry_Int_Tables_number 123
_symmetry_space_group_name_Hall '-P 4 2'
loop_
_atom_site_label
_atom_site_type_symbol
_atom_site_fract_x
_atom_site_fract_y
_atom_site_fract_z
Mn1 Mn 0.000 0.000 0.000
Re1 Re 0.000 0.500 0.500
Os1 Os 0.500 0.500 0.000

---

no.,total magnetization (Bohr magnetons per cell)
1,20.52
2,2.98
3,4.62
4,6.57
5,2.54
6,2.08
7,2.84
8,2.58